Entry 1:
{
  "formula": "HfZrNb",
  "functional": "GGA-PBE",
  "state": "relaxed",
  "polymorph_energy_kj_per_mol_fu": 10,
  "e_form_kcal_per_mol_atoms": 2.6,
  "total_energy_ev_per_cell": -56.46,
  "vol_a3_per_atom": 20.90,
  "magmom_total_mub_per_cell": 0.00,
  "lattice": [[4.856, 0.000, 0.000], [-2.428, 4.206, 0.000], [0.000, 0.000, 6.140]],
  "species": ["Hf", "Hf", "Zr", "Zr", "Nb", "Nb"],
  "fractional_positions": [[0.333, 0.667, 0.444], [0.667, 0.333, 0.556], [0.000, 0.000, 0.248], [0.000, 0.000, 0.752], [0.333, 0.667, 0.937], [0.667, 0.333, 0.063]]
}

Entry 2:
{
  "formula": "YMgCd2",
  "functional": "GGA-PBE",
  "state": "relaxed",
  "e_form_kcal_per_mol_atoms": -3.6,
  "total_energy_ev_per_cell": -10.52,
  "vol_a3_per_atom": 24.19,
  "magmom_total_mub_per_cell": 0.28,
  "lattice": [[3.367, 0.000, 0.000], [0.000, 3.447, 0.000], [0.000, 0.000, 8.339]],
  "species": ["Y", "Mg", "Cd", "Cd"],
  "fractional_positions": [[0.000, 0.000, 0.000], [0.500, 0.500, 0.285], [0.000, 0.000, 0.508], [0.500, 0.500, 0.739]]
}